A plane-wave DFT calculation with PBE was carried out for a relaxed structure of PmPuInBi.

* electronic total energy: -6.76 eV per atom
* formation energy: -330 meV per atom
* mass density: 10.2 g/cm³

Cell lengths 7.7471, 7.7471, 7.7471 Å; angles 90.00, 90.00, 90.00 degrees
Last column: nearest neighbours and their distance in Å.
Space group F-43m (No. 216)
Unique sites:
1 Pm 0.0000 0.0000 0.0000  4 In 3.35, 4 Bi 3.35
2 Pu 0.0000 0.0000 0.5000  4 In 3.35, 4 Bi 3.35
3 In 0.2500 0.2500 0.2500  4 Pm 3.35, 4 Pu 3.35
4 Bi 0.2500 0.2500 0.7500  4 Pm 3.35, 4 Pu 3.35